No. 1
Below is a geometry-optimized TbH8Rh6 structure, with properties calculated at the PBE level.

Uncorrected energy in eV/cell: -234.9

Unit cell a=7.9506 b=7.9506 c=7.3535 alpha=90.00 beta=90.00 gamma=120.00
Space group R-3 (No. 148, hexagonal axes)
Unique sites:
Tb  0.0000  0.0000  0.0000
H  0.0000  0.0000  0.3193
H  0.0226  0.4260  0.7998
Rh  0.0406  0.2445  0.6614



No. 2
Below is a geometry-optimized NbGaRu structure, with properties calculated at the PBE level.

Calculated formation energy in eV/atom: -0.31

Unit cell a=4.049 b=11.182 c=4.196 alpha=90.00 beta=90.00 gamma=90.00
Space group Cmcm (No. 63)
Unique sites:
Nb  0.000  0.095  0.250
Ga  0.000  0.403  0.250
Ru  0.000  0.248  0.750



No. 3
Below is a geometry-optimized LaErSiHg structure, with properties calculated at the PBE level.

Formation energy (no corrections) in eV per atom: -0.46

Unit cell a=7.396 b=7.396 c=7.396 alpha=90.00 beta=90.00 gamma=90.00
Space group F-43m (No. 216)
Unique sites:
La  0.000  0.000  0.000
Er  0.000  0.000  0.500
Si  0.250  0.250  0.250
Hg  0.250  0.250  0.750



No. 4
Below is a geometry-optimized Dy6HgGe2Te3 structure, with properties calculated at the PBE level.

Formation energy (no corrections) in eV per atom: -1.06

Unit cell a=18.858 b=4.244 c=8.710 alpha=90.00 beta=105.52 gamma=90.00
Space group C2/m (No. 12)
Unique sites:
Dy  0.007  0.000  0.254
Dy  0.168  0.500  0.104
Dy  0.174  0.500  0.564
Hg  0.000  0.500  0.000
Ge  0.166  0.000  0.330
Te  0.000  0.500  0.500
Te  0.165  0.000  0.830



No. 5
Below is a geometry-optimized DyCu3Pd4O12 structure, with properties calculated at the PBE level.

Formation energy (no corrections) in eV per atom: -0.80

Unit cell a=7.595 b=7.595 c=7.595 alpha=90.00 beta=90.00 gamma=90.00
Space group Im-3 (No. 204)
Unique sites:
Dy  0.000  0.000  0.000
Cu  0.000  0.000  0.500
Pd  0.250  0.250  0.250
O  0.000  0.160  0.303



No. 6
Below is a geometry-optimized NdCo4B4 structure, with properties calculated at the PBE level.

Calculated formation energy in eV/atom: -0.46
Energy relative to the lowest polymorph listed for this composition in eV/atom: 0.000

Unit cell a=7.059 b=7.059 c=3.798 alpha=90.00 beta=90.00 gamma=90.00
Space group P4_2/n (No. 86, origin choice 2)
Unique sites:
Nd  0.250  0.250  0.250
Co  0.108  0.634  0.143
B  0.047  0.912  0.146



No. 7
Below is a geometry-optimized K2AlP structure, with properties calculated at the PBE level.

Calculated formation energy in eV/atom: 0.23
Energy relative to the lowest polymorph listed for this composition in eV/atom: 0.467

Unit cell a=5.140 b=5.140 c=8.571 alpha=90.00 beta=90.00 gamma=90.00
Space group I-4m2 (No. 119)
Unique sites:
K  0.000  0.000  0.000
K  0.000  0.500  0.250
Al  0.000  0.000  0.500
P  0.000  0.500  0.750



No. 8
Below is a geometry-optimized TaNi2Br structure, with properties calculated at the PBE level.

Formation energy (no corrections) in eV per atom: 0.55
Energy relative to the lowest polymorph listed for this composition in eV/atom: 0.434

Unit cell a=3.003 b=4.342 c=4.539 alpha=90.00 beta=90.00 gamma=90.00
Space group Pmmm (No. 47)
Unique sites:
Ta  0.000  0.000  0.000
Ni  0.000  0.500  0.500
Ni  0.500  0.500  0.000
Br  0.500  0.000  0.500



No. 9
Below is a geometry-optimized Ce6TmPa2 structure, with properties calculated at the PBE level.

Calculated formation energy in eV/atom: 0.54

Unit cell a=5.4018 b=5.4018 c=10.8059 alpha=90.00 beta=90.00 gamma=120.00
Space group P-31m (No. 162)
Unique sites:
Ce  0.0000  0.3342  0.2642
Tm  0.0000  0.0000  0.0000
Pa  0.3333  0.6667  0.5000



No. 10
Below is a geometry-optimized HgGeTeOs2 structure, with properties calculated at the PBE level.

Formation energy (no corrections) in eV per atom: 1.51

Unit cell a=4.687 b=4.687 c=4.948 alpha=90.00 beta=90.00 gamma=90.00
Space group P4/mmm (No. 123)
Unique sites:
Hg  0.000  0.000  0.000
Ge  0.000  0.000  0.500
Te  0.500  0.500  0.000
Os  0.000  0.500  0.500



No. 11
Below is a geometry-optimized La4TbCu5 structure, with properties calculated at the PBE level.

Calculated formation energy in eV/atom: -0.15

Unit cell a=3.597 b=3.597 c=18.349 alpha=90.00 beta=90.00 gamma=90.00
Space group P4/mmm (No. 123)
Unique sites:
La  0.000  0.000  0.102
La  0.000  0.000  0.306
Tb  0.000  0.000  0.500
Cu  0.500  0.500  0.000
Cu  0.500  0.500  0.203
Cu  0.500  0.500  0.413



No. 12
Below is a geometry-optimized HgPb2I structure, with properties calculated at the PBE level.

Formation energy (no corrections) in eV per atom: -0.03
Energy relative to the lowest polymorph listed for this composition in eV/atom: 0.031

Unit cell a=3.801 b=3.801 c=8.681 alpha=90.00 beta=90.00 gamma=90.00
Space group P4/mmm (No. 123)
Unique sites:
Hg  0.000  0.000  0.000
Pb  0.500  0.500  0.224
I  0.000  0.000  0.500



No. 13
Below is a geometry-optimized CsPuTl2I6 structure, with properties calculated at the PBE level.

Formation energy (no corrections) in eV per atom: -1.00

Unit cell a=8.7645 b=8.7645 c=23.6421 alpha=90.00 beta=90.00 gamma=120.00
Space group R3 (No. 146, hexagonal axes)
Unique sites:
Cs  0.0000  0.0000  0.0000
Pu  0.0000  0.0000  0.4827
Tl  0.0000  0.0000  0.2888
Tl  0.0000  0.0000  0.8067
I  0.0151  0.3018  0.5562
I  0.0385  0.6249  0.0652



No. 14
Below is a geometry-optimized Rb4Ce2Br9 structure, with properties calculated at the PBE level.

Formation energy (no corrections) in eV per atom: -1.75

Unit cell a=8.441 b=8.442 c=21.684 alpha=89.99 beta=89.98 gamma=60.00
Space group P-1 (No. 2)
Unique sites:
Rb  0.166  0.167  0.187
Rb  0.166  0.167  0.478
Rb  0.167  0.166  0.687
Rb  0.167  0.166  0.977
Ce  0.500  0.499  0.656
Ce  0.500  0.500  0.155
Br  0.176  0.538  0.912
Br  0.176  0.787  0.411
Br  0.214  0.463  0.589
Br  0.214  0.824  0.088
Br  0.230  0.501  0.250
Br  0.232  0.769  0.750
Br  0.462  0.215  0.088
Br  0.463  0.823  0.589
Br  0.500  0.231  0.750



No. 15
Below is a geometry-optimized CsRb2Ca structure, with properties calculated at the PBE level.

Calculated formation energy in eV/atom: 0.27
Energy relative to the lowest polymorph listed for this composition in eV/atom: 0.108

Unit cell a=12.116 b=12.116 c=9.194 alpha=90.00 beta=90.00 gamma=90.00
Space group I-42d (No. 122)
Unique sites:
Cs  0.000  0.000  0.000
Rb  0.232  0.250  0.625
Ca  0.000  0.000  0.500



No. 16
Below is a geometry-optimized CaTc2Ru structure, with properties calculated at the PBE level.

Calculated formation energy in eV/atom: 0.44
Energy relative to the lowest polymorph listed for this composition in eV/atom: 0.077

Unit cell a=2.876 b=4.209 c=6.026 alpha=90.00 beta=103.52 gamma=90.00
Space group Pm (No. 6)
Unique sites:
Ca  0.000  0.000  0.000
Tc  0.254  0.000  0.500
Tc  0.352  0.500  0.704
Ru  0.663  0.500  0.316



No. 17
Below is a geometry-optimized InMoRu structure, with properties calculated at the PBE level.

Calculated formation energy in eV/atom: 0.35

Unit cell a=3.063 b=4.833 c=13.816 alpha=90.00 beta=90.00 gamma=90.00
Space group Fmm2 (No. 42)
Unique sites:
In  0.000  0.000  0.000
Mo  0.000  0.000  0.679
Ru  0.000  0.000  0.329



No. 18
Below is a geometry-optimized Tb6NdY2Tm3 structure, with properties calculated at the PBE level.

Calculated formation energy in eV/atom: 0.02

Unit cell a=6.158 b=10.656 c=11.775 alpha=90.00 beta=99.99 gamma=90.00
Space group C2/m (No. 12)
Unique sites:
Tb  0.248  0.000  0.246
Tb  0.248  0.333  0.246
Nd  0.000  0.000  0.500
Y  0.000  0.333  0.500
Tm  0.000  0.167  0.000
Tm  0.000  0.500  0.000



No. 19
Below is a geometry-optimized Rb2SrTlCl6 structure, with properties calculated at the PBE level.

Formation energy (no corrections) in eV per atom: -1.73
Energy relative to the lowest polymorph listed for this composition in eV/atom: 0.000

Unit cell a=7.695 b=8.038 c=13.397 alpha=90.00 beta=124.55 gamma=90.00
Space group P2_1/c (No. 14)
Unique sites:
Rb  0.226  0.067  0.249
Sr  0.500  0.000  0.000
Tl  0.000  0.000  0.500
Cl  0.145  0.203  0.946
Cl  0.246  0.703  0.946
Cl  0.352  0.033  0.748



No. 20
Below is a geometry-optimized Ac2DyAg4 structure, with properties calculated at the PBE level.

Calculated formation energy in eV/atom: -0.10

Unit cell a=5.606 b=5.606 c=13.229 alpha=90.00 beta=90.00 gamma=90.00
Space group I4/mmm (No. 139)
Unique sites:
Ac  0.000  0.000  0.215
Dy  0.000  0.000  0.500
Ag  0.000  0.500  0.108



| no. | theoretical density (g/cm³) |
| --- | --- |
| 1 | 9.71 |
| 2 | 9.22 |
| 3 | 8.78 |
| 4 | 8.42 |
| 5 | 7.36 |
| 6 | 7.43 |
| 7 | 2.00 |
| 8 | 10.61 |
| 9 | 8.95 |
| 10 | 11.93 |
| 11 | 7.22 |
| 12 | 9.82 |
| 13 | 4.90 |
| 14 | 3.33 |
| 15 | 1.69 |
| 16 | 7.89 |
| 17 | 10.13 |
| 18 | 7.78 |
| 19 | 3.29 |
| 20 | 8.37 |